Record 1
A relaxed structure of NbCo2Ni3, computed with GGA-PBE.

abc: 8.519 8.132 4.441
angles: 79.41 69.77 30.82
Element x y z (fractional)
Nb (0.125, 0.125, 0.125)
Nb (0.875, 0.875, 0.875)
Co (0.045, 0.045, 0.705)
Co (0.295, 0.295, 0.955)
Co (0.705, 0.705, 0.045)
Co (0.955, 0.955, 0.295)
Ni (0.215, 0.215, 0.535)
Ni (0.375, 0.375, 0.375)
Ni (0.465, 0.465, 0.785)
Ni (0.535, 0.535, 0.215)
Ni (0.625, 0.625, 0.625)
Ni (0.785, 0.785, 0.465)

Output
Space-group type = Fddd (70)

=====

Record 2
A relaxed structure of NbCoNi, computed with GGA-PBE.

abc: 4.574 4.574 4.574
angles: 139.57 139.57 58.51
Element x y z (fractional)
Nb (0.000, 0.000, 0.000)
Co (0.337, 0.337, 0.000)
Ni (0.668, 0.668, 0.000)

Output
Space-group type = I4mm (107)

=====

Record 3
A relaxed structure of NbCo2Ni5, computed with GGA-PBE.

abc: 6.278 6.278 6.278
angles: 156.49 102.73 82.10
Element x y z (fractional)
Nb (0.000, 0.000, 0.000)
Co (0.246, 0.746, 0.500)
Co (0.754, 0.254, 0.500)
Ni (0.142, 0.366, 0.775)
Ni (0.409, 0.634, 0.775)
Ni (0.500, 0.000, 0.500)
Ni (0.591, 0.366, 0.225)
Ni (0.858, 0.634, 0.225)

Output
Space-group type = Immm (71)

=====

| no. | formation energy (eV per atom) | density (Mg/m³) | magnetization (μB per formula unit) |
| --- | --- | --- | --- |
| 1 | -0.03 | 8.9 | 2.63 |
| 2 | -0.13 | 8.8 | 0.39 |
| 3 | 0.02 | 8.8 | 5.38 |